Computed, not measured: a relaxed MnRe2PbO crystal at the PBE+U level of DFT.

Calculated total energy: -29.373 eV/f.u.

Cell lengths 4.4566, 4.4566, 5.4625 Å; angles 90.00, 90.00, 90.00 degrees
Sites, in units of the cell vectors:
Mn: 0.0000 0.0000 0.0000
Re: 0.0000 0.5000 0.0000
Re: 0.5000 0.0000 0.0000
Pb: 0.0000 0.0000 0.5000
O: 0.5000 0.5000 0.5000